RbNaInI6 | PBE | relaxed

Lattice parameters (Å, degrees): 6.7194 7.7274 9.1169 89.08 89.10 64.40
Space group P1 (No. 1)
Symmetry-distinct sites (fractional):
Rb  0.0000  0.0000  0.0000 (multiplicity 1)
Na  0.3351  0.4566  0.6362 (multiplicity 1)
In  0.6763  0.8251  0.4425 (multiplicity 1)
I  0.0262  0.5041  0.9290 (multiplicity 1)
I  0.0921  0.8219  0.4322 (multiplicity 1)
I  0.4671  0.0592  0.2081 (multiplicity 1)
I  0.4835  0.0158  0.7000 (multiplicity 1)
I  0.5282  0.5058  0.9364 (multiplicity 1)
I  0.7642  0.4426  0.4464 (multiplicity 1)

Values from the calculation:
Calculated volume in Å³ per cell: 426.8
Size of the total moment in Bohr magnetons per cell: 0.00
DOS(E_F) in states/eV/f.u.: 1.49
DFT total energy in eV per cell: -21.72